Record 1
DFT (PBE-GGA) results for an optimized crystal structure of SmDy5Er2Sc.

The structure belongs to space group Cmc2_1 (No. 36); the cell edges are 5.538, 19.709 and 10.356 Å and the angles 90.00°, 90.00° and 90.00°. The distinct sites, in fractional coordinates, are Sm at (0.000, 0.088, 0.000), Dy at (0.000, 0.019, 0.285), Dy at (0.000, 0.122, 0.567), Dy at (0.000, 0.201, 0.251), Dy at (0.000, 0.223, 0.866), Dy at (0.000, 0.482, 0.564), Er at (0.000, 0.386, 0.282), Er at (0.000, 0.388, 0.859) and Sc at (0.000, 0.304, 0.560).

Its density of states at the Fermi level is 14.86 states/eV/f.u. Its formation energy is 171 meV per atom. The value obtained for the total energy is -166.59 eV for the cell shown.

=====

Record 2
DFT (PBE-GGA) results for an optimized crystal structure of Ta2CdPt.

The structure belongs to space group R3m (No. 160, hexagonal axes); the cell edges are 2.8869, 2.8869 and 30.0880 Å and the angles 90.00°, 90.00° and 120.00°. The distinct sites, in fractional coordinates, are Ta at (0.0000, 0.0000, 0.0000), Ta at (0.0000, 0.0000, 0.2468), Cd at (0.0000, 0.0000, 0.7559) and Pt at (0.0000, 0.0000, 0.5060).

Its density of states at the Fermi level is 3.26 states/eV/f.u. Its formation energy is -23 meV per atom. The value obtained for the total energy is -92.26 eV for the cell shown.

=====

Record 3
DFT (PBE-GGA) results for an optimized crystal structure of ZnH3F.

The structure belongs to space group P1 (No. 1); the cell edges are 2.786, 4.741 and 4.866 Å and the angles 64.95°, 74.05° and 73.62°. The distinct sites, in fractional coordinates, are Zn at (0.000, 0.000, 0.000), H at (0.076, 0.418, 0.440), H at (0.373, 0.128, 0.132), H at (0.975, 0.522, 0.534) and F at (0.688, 0.801, 0.813).

For the polymorph energy (0 for the lowest one), the calculation gives 8.94 kJ/mol of atoms. Its density of states at the Fermi level is 0.00 states/eV/f.u. The value obtained for the total energy is -15.90 eV for the cell shown.

=====

Record 4
DFT (PBE-GGA) results for an optimized crystal structure of ZrZn4Br.

The structure belongs to space group F-43m (No. 216); the cell edges are 7.629, 7.629 and 7.629 Å and the angles 90.00°, 90.00° and 90.00°. The distinct sites, in fractional coordinates, are Zr at (0.000, 0.000, 0.000), Zn at (0.127, 0.127, 0.373) and Br at (0.250, 0.250, 0.750).

The calculation puts the energy relative to the elements, uncorrected at 0.13 eV per atom. Its density of states at the Fermi level is 5.80 states/eV/f.u. The value obtained for the total energy is -58.17 eV for the cell shown.

=====

Record 5
DFT (PBE-GGA) results for an optimized crystal structure of Ba2HgP2.

The structure belongs to space group I4/mmm (No. 139); the cell edges are 5.935, 5.935 and 9.787 Å and the angles 90.00°, 90.00° and 90.00°. The distinct sites, in fractional coordinates, are Ba at (0.000, 0.500, 0.250), Hg at (0.000, 0.000, 0.000) and P at (0.000, 0.000, 0.385).

Its density of states at the Fermi level is 1.04 states/eV/f.u. Its formation energy is -580 meV per atom. The value obtained for the total energy is -35.74 eV for the cell shown.

=====

Record 6
DFT (PBE-GGA) results for an optimized crystal structure of Th8Te4Os3S.

The structure belongs to space group R-3m (No. 166, hexagonal axes); the cell edges are 8.4494, 8.4494 and 22.7510 Å and the angles 90.00°, 90.00° and 120.00°. The distinct sites, in fractional coordinates, are Th at (0.0000, 0.0000, 0.2328), Th at (0.0122, 0.5061, 0.7652), Te at (0.0000, 0.0000, 0.0000), Te at (0.0000, 0.5000, 0.0000), Os at (0.0000, 0.5000, 0.5000) and S at (0.0000, 0.0000, 0.5000).

The calculation puts the energy relative to the elements, uncorrected at -0.98 eV per atom. Its density of states at the Fermi level is 11.88 states/eV/f.u. The value obtained for the total energy is -376.23 eV for the cell shown.